Record 1
4
Lattice="3.021 -5.340 0.000 3.021 5.340 0.000 0.000 0.000 3.648" Properties=species:S:1:pos:R:3 comment="GGA-PBE SrSc2P, relaxed" spacegroup="Cmmm, No. 65" e_tot_ev_per_fu=-21.5 pbc="T T T"
Sr 0.000 0.000 0.000
Sc 3.021 1.787 1.824
Sc 3.021 -1.787 1.824
P 3.021 0.000 0.000

***

Record 2
4
Lattice="3.417 0.000 0.000 0.000 3.417 0.000 0.000 0.000 8.950" Properties=species:S:1:pos:R:3 comment="GGA-PBE SrSc2P, relaxed" spacegroup="P4/mmm, No. 123" e_tot_ev_per_fu=-21.4 pbc="T T T"
Sr 0.000 0.000 0.000
Sc 1.709 1.709 3.070
Sc 1.709 1.709 5.881
P 0.000 0.000 4.475

***

Record 3
5
Lattice="-2.471 2.471 5.164 2.471 -2.471 5.164 2.471 2.471 -5.164" Properties=species:S:1:pos:R:3 comment="GGA-PBE SrSc2P2, relaxed" spacegroup="I4/mmm, No. 139" e_tot_ev_per_fu=-29.7 pbc="T T T"
Sr 0.000 0.000 0.000
Sc 0.000 0.000 3.357
Sc 0.000 0.000 6.971
P 2.471 0.000 2.582
P 0.000 2.471 2.582

***

Record 4
4
Lattice="-1.742 2.744 5.422 1.742 -2.744 5.422 1.742 2.744 -5.422" Properties=species:S:1:pos:R:3 comment="GGA-PBE SrSc2P, relaxed" spacegroup="Immm, No. 71" e_tot_ev_per_fu=-21.7 pbc="T T T"
Sr 0.000 0.000 0.000
Sc 1.742 0.000 3.434
Sc 0.000 2.744 1.987
P 0.000 0.000 5.422

***

Record 5
3
Lattice="-1.803 1.803 6.080 1.803 -1.803 6.080 1.803 1.803 -6.080" Properties=species:S:1:pos:R:3 comment="GGA-PBE SrScP, relaxed" spacegroup="I4mm, No. 107" e_tot_ev_per_fu=-15.5 pbc="T T T"
Sr 0.000 0.000 0.000
Sc 0.000 0.000 3.200
P 0.000 0.000 8.465

***

Record 6
7
Lattice="-2.505 2.505 9.427 2.505 -2.505 9.427 2.505 2.505 -9.427" Properties=species:S:1:pos:R:3 comment="GGA-PBE Sr2Sc4P, relaxed" spacegroup="I4/mmm, No. 139" e_tot_ev_per_fu=-34.3 pbc="T T T"
Sr 0.000 0.000 3.166
Sr 0.000 0.000 15.689
Sc 2.505 0.000 0.000
Sc 0.000 0.000 6.970
Sc 0.000 2.505 0.000
Sc 0.000 0.000 11.884
P 0.000 0.000 9.427

***

What is the formula in the fifth record?
SrScP

***

What is the formula in the third record?
SrSc2P2

***

Number 2 is which compound?
SrSc2P